First-principles (PBE) data for a geometry-optimized IrOs structure, as listed in Alexandria.

Cell lengths 2.7491, 2.7491, 8.8246 Å; angles 90.00, 90.00, 120.00 degrees
With the nearest neighbours (Å) after each atom.
Element x y z (fractional)
Ir (0.3333, 0.6667, 0.3690)  3 Os 2.71, 9 Ir 2.75-2.80
Ir (0.6667, 0.3333, 0.6310)  3 Os 2.71, 9 Ir 2.75-2.80
Os (0.3333, 0.6667, 0.8804)  9 Os 2.64-2.75, 3 Ir 2.71
Os (0.6667, 0.3333, 0.1196)  9 Os 2.64-2.75, 3 Ir 2.71

Computed properties:
Total DFT energy (no corrections)   -40.221 eV per cell
N(E_F)   1.25 states/eV/f.u.
V   28.9 Å³/f.u.
Spin magnetization   0.0 μB/cell